# 1
Compound: Mg3AsI
Source: Alexandria via LeMat-Bulk
Functional: PBE
Structure: optimized geometry

a = 5.3104 Å, b = 5.3104 Å, c = 5.3104 Å
α = 90.00°, β = 90.00°, γ = 90.00°
Closest atoms and distances in Å follow each position.
Atoms (fractional coordinates):
Mg (0.0000, 0.0000, 0.5000)  2 As 2.66
Mg (0.0000, 0.5000, 0.0000)  2 As 2.66
Mg (0.5000, 0.0000, 0.0000)  2 As 2.66
As (0.0000, 0.0000, 0.0000)  6 Mg 2.66
I (0.5000, 0.5000, 0.5000)  12 Mg 3.76

Results
- Spin magnetization: 0.00 μB per cell
- Symmetry: No. 221
- Energy relative to the elements, uncorrected: -0.168 eV per atom
- Offset from the most stable computed form: 0.0 meV/atom
- Energy: -11.8 eV per formula unit

=====

# 2
Compound: CaFeOs
Source: Alexandria via LeMat-Bulk
Functional: PBE
Structure: optimized geometry

a = 5.0039 Å, b = 4.3205 Å, c = 5.4502 Å
α = 90.00°, β = 105.95°, γ = 90.00°
Closest atoms and distances in Å follow each position.
Atoms (fractional coordinates):
Ca (0.2479, 0.2500, 0.4566)  2 Fe 2.78-2.93
Ca (0.7521, 0.7500, 0.5434)  2 Fe 2.78-2.93
Fe (0.0698, 0.2500, 0.9262)  3 Os 2.41-2.60, 2 Fe 2.47
Fe (0.9302, 0.7500, 0.0738)  3 Os 2.41-2.60, 2 Fe 2.47
Os (0.3697, 0.7500, 0.9706)  3 Fe 2.41-2.60, 2 Os 2.50
Os (0.6303, 0.2500, 0.0294)  3 Fe 2.41-2.60, 2 Os 2.50

Results
- Spin magnetization: 3.98 μB per cell
- Symmetry: No. 11
- Offset from the most stable computed form: 31.0 meV/atom
- Energy: -21.2 eV per formula unit

=====

# 3
Compound: CsHgIrF6
Source: Alexandria via LeMat-Bulk
Functional: PBE
Structure: optimized geometry

a = 6.1910 Å, b = 6.1910 Å, c = 5.9395 Å
α = 90.04°, β = 90.04°, γ = 120.11°
Closest atoms and distances in Å follow each position.
Atoms (fractional coordinates):
Cs (0.0000, 0.0000, 0.0000)  6 F 2.99
Hg (0.6664, 0.3336, 0.5000)  6 F 2.47
Ir (0.3335, 0.6665, 0.5000)  6 F 2.00
F (0.0546, 0.3954, 0.3228)  1 Ir 2.00
F (0.0563, 0.6594, 0.6780)  1 Ir 2.00
F (0.3406, 0.9437, 0.3220)  1 Ir 2.00
F (0.3417, 0.3971, 0.6782)  1 Ir 2.00
F (0.6029, 0.6583, 0.3218)  1 Ir 2.00
F (0.6046, 0.9454, 0.6772)  1 Ir 2.00

Results
- Spin magnetization: 0.13 μB per cell
- Symmetry: No. 5
- Energy relative to the elements, uncorrected: -1.772 eV per atom
- Energy: -37.2 eV per formula unit

=====

# 4
Compound: MnVAsAu2
Source: Alexandria via LeMat-Bulk
Functional: PBE
Structure: optimized geometry

a = 4.8719 Å, b = 4.8719 Å, c = 4.4166 Å
α = 90.00°, β = 90.00°, γ = 90.00°
Closest atoms and distances in Å follow each position.
Atoms (fractional coordinates):
Mn (0.0000, 0.0000, 0.0000)  2 As 2.21, 4 Au 2.44
V (0.5000, 0.5000, 0.5000)  8 Au 3.29, 4 As 3.44
As (0.0000, 0.0000, 0.5000)  2 Mn 2.21
Au (0.0000, 0.5000, 0.0000)  2 Mn 2.44
Au (0.5000, 0.0000, 0.0000)  2 Mn 2.44

Results
- Spin magnetization: 2.70 μB per cell
- Symmetry: No. 123
- Energy: -25.0 eV per formula unit

=====

The lowest energy belongs to which entry? CsHgIrF6